# Cd2ReP | Alexandria | GGA-PBE | relaxed
data_Cd2ReP
_chemical_formula_sum 'Cd2 Re1 P1'
_cell_length_a 5.057
_cell_length_b 5.057
_cell_length_c 5.057
_cell_angle_alpha 131.76
_cell_angle_beta 131.76
_cell_angle_gamma 70.61
_space_group_name_H-M_alt 'P 1'
_space_group_IT_number 1
_space_group_name_Hall 'P 1'
loop_
_atom_site_label
_atom_site_type_symbol
_atom_site_fract_x
_atom_site_fract_y
_atom_site_fract_z
Cd1 Cd 0.000 0.000 0.000
Cd2 Cd 0.750 0.250 0.500
Re1 Re 0.500 0.500 0.000
P1 P 0.250 0.750 0.500
# - energy of formation (eV per atom) = 0.742
# - E (eV/atom) = -4.180